No. 1
Below is an optimized crystal structure of InCu2Cl, with properties calculated at the PBE level.

SG: Cmmm, No. 65
formation energy (no corrections): 69 meV/atom
E_tot: -3.125 eV/atom

Unit cell a=3.1643 b=6.0395 c=7.9855 alpha=90.00 beta=90.00 gamma=90.00
Closest atoms and distances in Å follow each position.
Positions (direct):
1 In 0.0000 0.0000 0.0000  4 Cu 2.64
2 In 0.5000 0.5000 0.0000  4 Cu 2.64
3 Cu 0.0000 0.5000 0.2651  2 Cl 2.45, 2 In 2.64
4 Cu 0.0000 0.5000 0.7349  2 Cl 2.45, 2 In 2.64
5 Cu 0.5000 0.0000 0.2651  2 Cl 2.45, 2 In 2.64
6 Cu 0.5000 0.0000 0.7349  2 Cl 2.45, 2 In 2.64
7 Cl 0.0000 0.0000 0.5000  4 Cu 2.45
8 Cl 0.5000 0.5000 0.5000  4 Cu 2.45

No. 2
Below is an optimized crystal structure of YPbW, with properties calculated at the PBE level.

SG: F-43m, No. 216
E_tot: -6.344 eV/atom
formation energy: 4.093 eV per formula unit

Unit cell a=7.0600 b=7.0600 c=7.0600 alpha=90.00 beta=90.00 gamma=90.00
Closest atoms and distances in Å follow each position.
Positions (direct):
1 Y 0.0000 0.0000 0.0000  4 W 3.06, 4 Pb 3.06
2 Y 0.0000 0.5000 0.5000  4 W 3.06, 4 Pb 3.06
3 Y 0.5000 0.0000 0.5000  4 W 3.06, 4 Pb 3.06
4 Y 0.5000 0.5000 0.0000  4 W 3.06, 4 Pb 3.06
5 Pb 0.2500 0.2500 0.7500  4 Y 3.06
6 Pb 0.2500 0.7500 0.2500  4 Y 3.06
7 Pb 0.7500 0.2500 0.2500  4 Y 3.06
8 Pb 0.7500 0.7500 0.7500  4 Y 3.06
9 W 0.2500 0.2500 0.2500  4 Y 3.06
10 W 0.2500 0.7500 0.7500  4 Y 3.06
11 W 0.7500 0.2500 0.7500  4 Y 3.06
12 W 0.7500 0.7500 0.2500  4 Y 3.06

Polymorph energy (0 for the lowest one) values, unit meV per atom, following the record order: 165.2 897.3.